VASP calculation (GGA-PBE) on a relaxed structure of ZrCoBr.

Unit cell a=3.4914 b=3.4914 c=5.9369 alpha=90.00 beta=90.00 gamma=120.00
Fractional positions:
1 Br 0.0000 0.0000 0.9853
2 Co 0.3333 0.6667 0.3841
3 Zr 0.6667 0.3333 0.6306

Calculated values
D(E_F) in states/eV/cell: 0.745
Formation energy from raw total energies in eV/f.u.: -0.602
Total DFT energy (no corrections) in eV/atom: -5.98
Space-group type: P3m1 (156)